The following is a PBE-GGA calculation of an optimized crystal structure of Cs3Ag2Br3Cl2, from Alexandria.

Cell and atoms, written as POSCAR:
```
Cs3Ag2Br3Cl2
1.0
5.2088 0.0000 0.0000
0.0000 5.2088 0.0000
-2.6044 -2.6044 14.2556
Cs Ag Cl Br
3 2 2 3
Cartesian
2.6044 2.6044 3.9796
0.0000 0.0000 10.2760
0.0000 0.0000 0.0000
0.0000 0.0000 6.2310
2.6044 2.6044 8.0246
0.0000 2.6044 7.1278
2.6044 0.0000 7.1278
2.6044 2.6044 10.7013
0.0000 0.0000 3.5543
2.6044 2.6044 0.0000
```

Values from the calculation:
As for the uncorrected formation energy: -12.7 eV/f.u. The calculation puts the electronic total energy at -2.965 eV/atom. The value obtained for the volume is 38.68 Å³/atom. Its space group is I4/mmm (139).